# BeSbAs2

Crystalline BeSbAs2 at its relaxed geometry (GGA-PBE, Alexandria via LeMat-Bulk).

Geometry as POSCAR:
```
BeSbAs2
1.0
5.597 0.001 0.114
4.452 3.392 0.114
2.575 0.869 4.629
Sb As Be
1 2 1
Direct
0.750 0.750 0.750
0.900 0.900 0.094
0.600 0.600 0.406
0.250 0.250 0.250
```

Summary:
The volume is 21.7 Å³ per atom. The calculation puts the energy above the most stable polymorph in this dataset at 0.226 eV/atom. For the uncorrected formation energy, the calculation gives 0.254 eV/atom. Its space group is C2/m.


# YInFe

Crystalline YInFe at its relaxed geometry (GGA-PBE, Alexandria via LeMat-Bulk).

Geometry as POSCAR:
```
YInFe
1.0
3.559 0.000 0.000
-1.779 3.082 0.000
0.000 0.000 6.283
Fe In Y
1 1 1
Direct
0.000 0.000 0.013
0.667 0.333 0.287
0.333 0.667 0.700
```

Summary:
The volume is 23.0 Å³ per atom. The value obtained for the energy of formation from the pure elements is 0.22 eV per atom. Its space group is P3m1.


# Sr3As2H3

Crystalline Sr3As2H3 at its relaxed geometry (GGA-PBE, Alexandria via LeMat-Bulk).

Geometry as POSCAR:
```
Sr3As2H3
1.0
3.296 0.000 0.000
0.000 6.738 -3.890
0.000 0.000 7.780
Sr As H
3 2 3
Direct
0.500 0.718 0.718
0.500 0.000 0.282
0.500 0.282 0.000
0.000 0.667 0.333
0.000 0.333 0.667
0.000 0.190 0.190
0.000 0.000 0.810
0.000 0.810 0.000
```

Summary:
The volume is 21.6 Å³ per atom. The total energy comes out at -3.395 eV/atom. Its space group is P-62m.


# Pm2Nd4Tl

Crystalline Pm2Nd4Tl at its relaxed geometry (GGA-PBE, Alexandria via LeMat-Bulk).

Geometry as POSCAR:
```
Pm2Nd4Tl
1.0
3.595 0.000 0.000
0.000 8.797 0.185
-1.797 -4.013 7.477
Pm Nd Tl
2 4 1
Direct
0.783 0.859 0.565
0.217 0.141 0.435
0.921 0.294 0.842
0.079 0.706 0.158
0.635 0.401 0.270
0.365 0.599 0.730
0.000 0.000 0.000
```

Summary:
The volume is 34.2 Å³ per atom. The value obtained for the energy of formation from the pure elements is -0.01 eV per atom. Its space group is C2/m.